An optimized crystal structure of GaNiGe2O6. Source: the Alexandria database, functional PBE with a Hubbard U.

Lattice parameters (Å, degrees): 5.3070 6.6352 6.6352 85.97 81.69 81.69
With the nearest neighbours (Å) after each atom.
Positions (direct):
1 O 0.6338 0.7922 0.9810  1 Ge 1.84
2 O 0.1338 0.9810 0.7922  1 Ge 1.84
3 O 0.1203 0.2849 0.4418  2 Ge 1.87-1.91
4 O 0.6203 0.4418 0.2849  2 Ge 1.87-1.91
5 O 0.3970 0.8554 0.3654  1 Ge 1.79, 1 Ga 1.97
6 O 0.8797 0.7151 0.5582  2 Ge 1.87-1.91
7 O 0.8662 0.0190 0.2078  1 Ge 1.84
8 O 0.3797 0.5582 0.7151  2 Ge 1.87-1.91
9 O 0.6030 0.1446 0.6346  1 Ge 1.79, 1 Ga 1.97
10 O 0.8970 0.3654 0.8554  1 Ge 1.79, 1 Ga 1.97
11 O 0.3662 0.2078 0.0190  1 Ge 1.84
12 O 0.1030 0.6346 0.1446  1 Ge 1.79, 1 Ga 1.97
13 Ge 0.7022 0.5975 0.7901  4 O 1.79-1.91
14 Ge 0.2022 0.7901 0.5975  4 O 1.79-1.91
15 Ge 0.7978 0.2099 0.4025  4 O 1.79-1.91
16 Ge 0.2978 0.4025 0.2099  4 O 1.79-1.91
17 Ni 0.7500 0.0894 0.9106  6 O 2.08-2.15
18 Ni 0.2500 0.9106 0.0894  6 O 2.08-2.15
19 Ga 0.2500 0.2645 0.7355  6 O 1.97-2.15
20 Ga 0.7500 0.7355 0.2645  6 O 1.97-2.15

- SG = No. 15
- electronic total energy (eV per cell) = -117.7
- size of the total moment (μB/cell) = 3.69